## HoBeOs (GGA-PBE)

Data for HoBeOs after structural relaxation. Values from VASP.

```
&SYSTEM
  ibrav = 0, nat = 6, ntyp = 3
/
ATOMIC_SPECIES
Ho 164.93 Ho.upf
Be 9.01 Be.upf
Os 190.23 Os.upf
ATOMIC_POSITIONS angstrom
Ho 4.624 1.626 5.093
Ho 1.669 2.663 5.025
Be 0.000 0.000 0.000
Be 2.276 0.000 1.278
Os 3.092 2.114 2.490
Os 2.330 0.030 3.847
CELL_PARAMETERS angstrom
4.552 0.000 2.556
1.632 4.228 2.424
0.108 0.061 5.138
```

Results
Fermi-level density of states = 0.5569 states/eV per atom
energy of formation = -0.258 eV per atom
total DFT energy (no corrections) = -6.77 eV/atom
spin magnetization = 0.000 μB per cell
ρ = 12.43 g/cm3